No. 1
Entry from Alexandria via LeMat-Bulk: an optimized crystal structure of Mn4VP2 (PBE).

Cell lengths 3.3098, 3.8858, 13.6474 Å; angles 90.00, 90.00, 90.00 degrees
Closest atoms and distances in Å follow each position.
Sites, in units of the cell vectors:
Mn1 0.0000 0.0000 0.1059  2 V 2.42, 2 Mn 2.52, 4 P 2.59
Mn2 0.0000 0.0000 0.8941  2 V 2.42, 2 Mn 2.52, 4 P 2.59
Mn3 0.0000 0.5000 0.2548  4 P 2.31-2.44, 6 Mn 2.52-2.56
Mn4 0.0000 0.5000 0.7452  4 P 2.31-2.44, 6 Mn 2.52-2.56
Mn5 0.5000 0.0000 0.2452  4 P 2.31-2.44, 6 Mn 2.52-2.56
Mn6 0.5000 0.0000 0.7548  4 P 2.31-2.44, 6 Mn 2.52-2.56
Mn7 0.5000 0.5000 0.3941  2 V 2.42, 2 Mn 2.52, 4 P 2.59
Mn8 0.5000 0.5000 0.6059  2 V 2.42, 2 Mn 2.52, 4 P 2.59
V1 0.0000 0.5000 0.0000  4 Mn 2.42, 4 P 2.50
V2 0.5000 0.0000 0.5000  4 Mn 2.42, 4 P 2.50
P1 0.0000 0.0000 0.3628  4 Mn 2.31-2.44, 2 V 2.50
P2 0.0000 0.0000 0.6372  4 Mn 2.31-2.44, 2 V 2.50
P3 0.5000 0.5000 0.1372  4 Mn 2.31-2.44, 2 V 2.50
P4 0.5000 0.5000 0.8628  4 Mn 2.31-2.44, 2 V 2.50

Properties
- Size of the total moment: 14.7 μB/cell
- Electronic total energy: -8.270 eV per atom
- SG: Immm, No. 71

***

No. 2
Entry from Alexandria via LeMat-Bulk: an optimized crystal structure of Li6Tl2Si (PBE).

Cell lengths 8.0085, 8.0085, 3.0084 Å; angles 90.00, 90.00, 120.00 degrees
Closest atoms and distances in Å follow each position.
Sites, in units of the cell vectors:
Li1 0.0000 0.3445 0.0000  1 Si 2.76, 6 Li 2.94-3.01, 4 Tl 3.03
Li2 0.0000 0.7234 0.5000  2 Si 2.68, 2 Tl 2.92, 4 Li 2.94
Li3 0.2766 0.2766 0.5000  2 Si 2.68, 2 Tl 2.92, 4 Li 2.94
Li4 0.3445 0.0000 0.0000  1 Si 2.76, 6 Li 2.94-3.01, 4 Tl 3.03
Li5 0.6555 0.6555 0.0000  1 Si 2.76, 6 Li 2.94-3.01, 4 Tl 3.03
Li6 0.7234 0.0000 0.5000  2 Si 2.68, 2 Tl 2.92, 4 Li 2.94
Tl1 0.3333 0.6667 0.5000  9 Li 2.92-3.03, 2 Tl 3.01
Tl2 0.6667 0.3333 0.5000  9 Li 2.92-3.03, 2 Tl 3.01
Si1 0.0000 0.0000 0.0000  9 Li 2.68-2.76

Properties
- Size of the total moment: 0.0 μB/cell
- Electronic total energy: -2.558 eV per atom
- SG: P-62m, No. 189
- Formation energy (no corrections): -1.39 eV per formula unit

***

No. 3
Entry from Alexandria via LeMat-Bulk: an optimized crystal structure of Ca8Zn2Au (PBE).

Cell lengths 8.2165, 8.2165, 6.4021 Å; angles 101.29, 101.29, 112.69 degrees
Closest atoms and distances in Å follow each position.
Sites, in units of the cell vectors:
Ca1 0.0000 0.0000 0.0000  2 Zn 3.27, 1 Au 3.27
Ca2 0.0170 0.2741 0.5939  2 Zn 3.05-3.06, 1 Au 3.13
Ca3 0.1537 0.5657 0.1963  1 Au 3.11, 1 Zn 3.45
Ca4 0.2741 0.0170 0.5939  2 Zn 3.05-3.06, 1 Au 3.13
Ca5 0.4358 0.6960 0.8080  2 Zn 3.07-3.10, 1 Au 3.12
Ca6 0.5657 0.1537 0.1963  1 Au 3.11, 1 Zn 3.45
Ca7 0.6960 0.4358 0.8080  2 Zn 3.07-3.10, 1 Au 3.12
Ca8 0.7097 0.7097 0.3749  2 Zn 3.21, 1 Au 3.29
Zn1 0.0374 0.6617 0.6807  6 Ca 3.05-3.27
Zn2 0.6617 0.0374 0.6807  6 Ca 3.05-3.27
Au1 0.3570 0.3570 0.9899  8 Ca 3.11-3.29

Properties
- Size of the total moment: 0.0 μB/cell
- Electronic total energy: -2.187 eV per atom
- SG: Cm, No. 8

***

No. 4
Entry from Alexandria via LeMat-Bulk: an optimized crystal structure of Li3GaHg3 (PBE).

Cell lengths 7.2272, 7.2272, 7.2272 Å; angles 90.00, 90.00, 90.00 degrees
Closest atoms and distances in Å follow each position.
Sites, in units of the cell vectors:
Li1 0.0000 0.2500 0.5000  4 Hg 2.56
Li2 0.0000 0.7500 0.5000  4 Hg 2.56
Li3 0.2500 0.5000 0.0000  4 Hg 2.56
Li4 0.5000 0.0000 0.2500  4 Hg 2.56
Li5 0.5000 0.0000 0.7500  4 Hg 2.56
Li6 0.7500 0.5000 0.0000  4 Hg 2.56
Ga1 0.0000 0.0000 0.0000  12 Hg 4.04, 12 Li 4.04
Ga2 0.5000 0.5000 0.5000  12 Hg 4.04, 12 Li 4.04
Hg1 0.0000 0.5000 0.2500  4 Li 2.56
Hg2 0.0000 0.5000 0.7500  4 Li 2.56
Hg3 0.2500 0.0000 0.5000  4 Li 2.56
Hg4 0.5000 0.2500 0.0000  4 Li 2.56
Hg5 0.5000 0.7500 0.0000  4 Li 2.56
Hg6 0.7500 0.0000 0.5000  4 Li 2.56

Properties
- Size of the total moment: 0.0 μB/cell
- Electronic total energy: -1.252 eV per atom
- SG: Pm-3n, No. 223

***

No. 5
Entry from Alexandria via LeMat-Bulk: an optimized crystal structure of Ca2La3ErTe6 (PBE).

Cell lengths 7.7529, 7.7529, 7.9105 Å; angles 99.42, 99.42, 120.01 degrees
Closest atoms and distances in Å follow each position.
Sites, in units of the cell vectors:
Ca1 0.1658 0.8342 0.0000  6 Te 3.14-3.16
Ca2 0.8342 0.1658 0.0000  6 Te 3.14-3.16
La1 0.0000 0.0000 0.5000  6 Te 3.25-3.27
La2 0.3282 0.6718 0.5000  6 Te 3.25-3.26
La3 0.6718 0.3282 0.5000  6 Te 3.25-3.26
Er1 0.5000 0.5000 0.0000  6 Te 3.08-3.11
Te1 0.0945 0.4223 0.7666  1 Er 3.08, 2 Ca 3.14, 3 La 3.25
Te2 0.2527 0.2527 0.2401  1 Er 3.11, 2 Ca 3.16, 3 La 3.26-3.27
Te3 0.4223 0.0945 0.7666  1 Er 3.08, 2 Ca 3.14, 3 La 3.25
Te4 0.5777 0.9055 0.2334  1 Er 3.08, 2 Ca 3.14, 3 La 3.25
Te5 0.7473 0.7473 0.7599  1 Er 3.11, 2 Ca 3.16, 3 La 3.26-3.27
Te6 0.9055 0.5777 0.2334  1 Er 3.08, 2 Ca 3.14, 3 La 3.25

Properties
- Size of the total moment: 0.0 μB/cell
- Electronic total energy: -5.042 eV per atom
- SG: C2/m, No. 12
- Formation energy (no corrections): -18.31 eV per formula unit

***

No. 6
Entry from Alexandria via LeMat-Bulk: an optimized crystal structure of Nb2AlC (PBE).

Cell lengths 3.1383, 3.1383, 13.9229 Å; angles 90.00, 90.00, 120.00 degrees
Closest atoms and distances in Å follow each position.
Sites, in units of the cell vectors:
Nb1 0.3333 0.6667 0.0885  3 C 2.19
Nb2 0.3333 0.6667 0.4115  3 C 2.19
Nb3 0.6667 0.3333 0.5885  3 C 2.19
Nb4 0.6667 0.3333 0.9115  3 C 2.19
Al1 0.3333 0.6667 0.7500  6 Nb 2.89, 6 Al 3.14
Al2 0.6667 0.3333 0.2500  6 Nb 2.89, 6 Al 3.14
C1 0.0000 0.0000 0.0000  6 Nb 2.19
C2 0.0000 0.0000 0.5000  6 Nb 2.19

Properties
- Size of the total moment: 0.0 μB/cell
- Electronic total energy: -8.799 eV per atom
- SG: P6_3/mmc, No. 194

***

No. 7
Entry from Alexandria via LeMat-Bulk: an optimized crystal structure of Sc7C5 (PBE).

Cell lengths 6.1127, 6.1127, 6.1127 Å; angles 110.85, 110.85, 106.74 degrees
Closest atoms and distances in Å follow each position.
Sites, in units of the cell vectors:
Sc1 0.0000 0.0000 0.0000  1 C 2.29
Sc2 0.1966 0.6966 0.5000  4 C 2.46, 4 Sc 2.48-2.54
Sc3 0.2000 0.4514 0.7486  5 C 2.39-2.65, 4 Sc 2.47-2.54
Sc4 0.4514 0.2000 0.7486  5 C 2.39-2.65, 4 Sc 2.47-2.54
Sc5 0.4514 0.7028 0.2514  5 C 2.39-2.65, 4 Sc 2.47-2.54
Sc6 0.6966 0.1966 0.5000  4 C 2.46, 4 Sc 2.48-2.54
Sc7 0.7028 0.4514 0.2514  5 C 2.39-2.65, 4 Sc 2.47-2.54
C1 0.4260 0.4260 0.4998  6 Sc 2.39-2.65, 1 C 2.45
C2 0.4260 0.9262 0.0000  6 Sc 2.39-2.65, 1 C 2.45
C3 0.6863 0.6863 0.0000  5 Sc 2.29-2.44, 4 C 2.45
C4 0.9262 0.4260 0.0000  6 Sc 2.39-2.65, 1 C 2.45
C5 0.9262 0.9262 0.5002  6 Sc 2.39-2.65, 1 C 2.45

Properties
- Size of the total moment: 0.0 μB/cell
- Electronic total energy: -6.683 eV per atom
- SG: I4mm, No. 107